1.
## Pr2DyHf (PBE)

Data for Pr2DyHf after structural relaxation.

As for the volume: 30.46 Å³/atom. Its crystal system is tetragonal. The symmetry is P4/mmm (123). As for the energy relative to the lowest polymorph listed for this composition: 0.000 eV per atom. As for the density: 8.488 Mg/m³. The calculated total energy is -23.371 eV for the cell shown. For the formation energy from the elements, the calculation gives 186 meV per atom.

Cell lengths 4.878, 4.998, 4.998 Å; angles 90.00, 90.00, 90.00 degrees
Atoms (fractional coordinates):
Pr 0.000 0.500 0.000
Pr 0.000 0.000 0.500
Dy 0.500 0.000 0.000
Hf 0.500 0.500 0.500

=====

2.
## KLiUS3 (PBE)

Data for KLiUS3 after structural relaxation.

As for the volume: 25.88 Å³/atom. Its crystal system is monoclinic. For the uncorrected formation energy, the calculation gives -1408 meV/atom. The symmetry is P2_1/m (11). As for the density: 4.066 Mg/m³. The calculated total energy is -70.259 eV for the cell shown.

Cell lengths 4.065, 8.805, 9.055 Å; angles 106.59, 90.00, 90.00 degrees
Last column: magnetic moment on the atom in μB.
Atoms (fractional coordinates):
K 0.250 0.206 0.252  0.00
K 0.750 0.794 0.748  0.00
S 0.750 0.869 0.130  -0.05
S 0.750 0.203 0.543  -0.04
S 0.250 0.131 0.870  -0.05
S 0.250 0.534 0.844  -0.07
S 0.250 0.797 0.457  -0.04
S 0.750 0.466 0.156  -0.07
Li 0.750 0.921 0.406  0.00
Li 0.250 0.079 0.594  0.00
U 0.750 0.325 0.845  2.04
U 0.250 0.675 0.155  2.04

=====

3.
## YVPb2 (PBE)

Data for YVPb2 after structural relaxation.

As for the volume: 28.52 Å³/atom. Its crystal system is tetragonal. The symmetry is I-42d (122). As for the density: 8.068 Mg/m³. The calculated total energy is -43.006 eV for the cell shown. For the formation energy from the elements, the calculation gives 374 meV per atom.

Cell lengths 4.671, 4.671, 10.967 Å; angles 77.70, 77.70, 90.00 degrees
Last column: magnetic moment on the atom in μB.
Atoms (fractional coordinates):
Pb 0.875 0.852 0.750  -0.04
Pb 0.148 0.625 0.250  -0.04
Pb 0.375 0.398 0.750  -0.04
Pb 0.602 0.125 0.250  -0.04
V 0.500 0.500 0.000  2.78
V 0.250 0.750 0.500  2.78
Y 0.000 0.000 0.000  0.21
Y 0.750 0.250 0.500  0.21

=====

4.
## HfSiH2 (PBE)

Data for HfSiH2 after structural relaxation.

As for the volume: 11.02 Å³/atom. Its crystal system is tetragonal. The symmetry is I-42d (122). As for the energy relative to the lowest polymorph listed for this composition: 0.000 eV per atom. As for the density: 7.860 Mg/m³. The calculated total energy is -44.881 eV for the cell shown.

Cell lengths 3.813, 3.813, 6.634 Å; angles 73.30, 73.30, 90.00 degrees
Atoms (fractional coordinates):
H 0.875 0.914 0.750
H 0.375 0.336 0.750
H 0.664 0.125 0.250
H 0.086 0.625 0.250
Hf 0.750 0.250 0.500
Hf 0.000 0.000 0.000
Si 0.250 0.750 0.500
Si 0.500 0.500 0.000